# Li2EuMg

A relaxed Li2EuMg crystal (PBE, Alexandria via LeMat-Bulk).

a = 7.4873 Å, b = 7.4873 Å, c = 7.4873 Å
α = 90.00°, β = 90.00°, γ = 90.00°
Space group Fm-3m (No. 225)
Asymmetric unit:
Li (0.2500, 0.2500, 0.2500) [8 per cell]
Eu (0.0000, 0.0000, 0.0000) [4 per cell]
Mg (0.0000, 0.0000, 0.5000) [4 per cell]

Calculated volume, Å³ per cell: 419.73
E_tot, eV/cell: -62.4
Calculated density, g cm⁻³: 3.01
Energy of formation from the pure elements, kcal/mol of atoms: 0.5
Relative energy among the computed polymorphs, meV per atom: 7

# Dy4AsP2N

A relaxed Dy4AsP2N crystal (PBE, Alexandria via LeMat-Bulk).

a = 3.9652 Å, b = 13.3212 Å, c = 13.8118 Å
α = 90.00°, β = 90.00°, γ = 90.00°
Space group Cmcm (No. 63)
Asymmetric unit:
Dy (0.0000, 0.0000, 0.0000) [4 per cell]
Dy (0.0000, 0.2610, 0.1288) [8 per cell]
Dy (0.0000, 0.4324, 0.7500) [4 per cell]
As (0.0000, 0.1097, 0.7500) [4 per cell]
P (0.0000, 0.3675, 0.5516) [8 per cell]
N (0.0000, 0.1564, 0.2500) [4 per cell]

Calculated volume, Å³ per cell: 729.56
E_tot, eV/cell: -214.7
Calculated density, g cm⁻³: 7.29
Energy relative to the elements, uncorrected, eV/atom: -1.433

# Sc2VI2

A relaxed Sc2VI2 crystal (PBE, Alexandria via LeMat-Bulk).

a = 7.9000 Å, b = 7.9000 Å, c = 3.6765 Å
α = 90.00°, β = 90.00°, γ = 90.00°
Space group P4/mbm (No. 127)
Asymmetric unit:
Sc (0.1542, 0.3458, 0.0000) [4 per cell]
V (0.0000, 0.0000, 0.5000) [2 per cell]
I (0.1510, 0.6510, 0.5000) [4 per cell]

Calculated volume, Å³ per cell: 229.45
E_tot, eV/cell: -48.7
Calculated density, g cm⁻³: 5.71
Relative energy among the computed polymorphs, meV per atom: 0
Energy relative to the elements, uncorrected, eV/atom: 0.108

# SrLaAlCo2

A relaxed SrLaAlCo2 crystal (PBE, Alexandria via LeMat-Bulk).

a = 4.6878 Å, b = 4.6878 Å, c = 5.3352 Å
α = 90.00°, β = 90.00°, γ = 90.00°
Space group P4/mmm (No. 123)
Asymmetric unit:
Sr (0.0000, 0.0000, 0.0000) [1 per cell]
La (0.5000, 0.5000, 0.0000) [1 per cell]
Al (0.0000, 0.0000, 0.5000) [1 per cell]
Co (0.0000, 0.5000, 0.5000) [2 per cell]

Calculated volume, Å³ per cell: 117.24
E_tot, eV/cell: -21.2
Calculated density, g cm⁻³: 5.26
Energy of formation from the pure elements, kcal/mol of atoms: 15.7

# Tb6RhBr10

A relaxed Tb6RhBr10 crystal (PBE, Alexandria via LeMat-Bulk).

a = 7.4154 Å, b = 9.2118 Å, c = 9.3032 Å
α = 107.81°, β = 96.56°, γ = 104.75°
Space group P-1 (No. 2)
Asymmetric unit:
Tb (0.0346, 0.2055, 0.4089) [2 per cell]
Tb (0.1270, 0.5489, 0.2536) [2 per cell]
Tb (0.3599, 0.6356, 0.6800) [2 per cell]
Rh (0.0000, 0.5000, 0.5000) [1 per cell]
Br (0.0879, 0.8725, 0.3284) [2 per cell]
Br (0.2215, 0.2475, 0.1556) [2 per cell]
Br (0.2468, 0.5806, 0.9560) [2 per cell]
Br (0.3417, 0.9514, 0.7734) [2 per cell]
Br (0.4537, 0.3216, 0.5845) [2 per cell]

Calculated volume, Å³ per cell: 572.21
E_tot, eV/cell: -79.0
Calculated density, g cm⁻³: 5.38
Energy relative to the elements, uncorrected, eV/atom: -1.596

# AlFeAg2

A relaxed AlFeAg2 crystal (PBE, Alexandria via LeMat-Bulk).

a = 2.8071 Å, b = 2.8071 Å, c = 7.8696 Å
α = 90.00°, β = 90.00°, γ = 90.00°
Space group P4mm (No. 99)
Asymmetric unit:
Al (0.0000, 0.0000, 0.0000) [1 per cell]
Fe (0.5000, 0.5000, 0.2075) [1 per cell]
Ag (0.0000, 0.0000, 0.4565) [1 per cell]
Ag (0.5000, 0.5000, 0.7429) [1 per cell]

Calculated volume, Å³ per cell: 62.01
E_tot, eV/cell: -17.8
Calculated density, g cm⁻³: 7.99
Energy of formation from the pure elements, kcal/mol of atoms: 0.9

# InCuPd

A relaxed InCuPd crystal (PBE, Alexandria via LeMat-Bulk).

a = 3.1352 Å, b = 3.1352 Å, c = 21.1530 Å
α = 90.00°, β = 90.00°, γ = 90.00°
Space group I4/mmm (No. 139)
Asymmetric unit:
In (0.0000, 0.0000, 0.0688) [4 per cell]
Cu (0.0000, 0.0000, 0.2210) [4 per cell]
Pd (0.0000, 0.0000, 0.3503) [4 per cell]

Calculated volume, Å³ per cell: 207.93
E_tot, eV/cell: -50.7
Calculated density, g cm⁻³: 9.10
Energy of formation from the pure elements, kcal/mol of atoms: -5.0
Relative energy among the computed polymorphs, meV per atom: 28

# BeRuBr2

A relaxed BeRuBr2 crystal (PBE, Alexandria via LeMat-Bulk).

a = 6.6873 Å, b = 6.6873 Å, c = 6.6873 Å
α = 90.00°, β = 90.00°, γ = 90.00°
Space group F-43m (No. 216)
Asymmetric unit:
Be (0.0000, 0.0000, 0.0000) [4 per cell]
Ru (0.2500, 0.2500, 0.7500) [4 per cell]
Br (0.0000, 0.0000, 0.5000) [4 per cell]
Br (0.2500, 0.2500, 0.2500) [4 per cell]

Calculated volume, Å³ per cell: 299.06
E_tot, eV/cell: -46.0
Calculated density, g cm⁻³: 5.99
Relative energy among the computed polymorphs, meV per atom: 1212
Energy relative to the elements, uncorrected, eV/atom: 1.210

# ScCo

A relaxed ScCo crystal (PBE, Alexandria via LeMat-Bulk).

a = 10.1580 Å, b = 3.2208 Å, c = 6.1624 Å
α = 90.00°, β = 108.16°, γ = 90.00°
Space group Cm (No. 8)
Asymmetric unit:
Sc (0.0000, 0.0000, 0.0000) [2 per cell]
Sc (0.0317, 0.0000, 0.5409) [2 per cell]
Sc (0.2307, 0.5000, 0.3515) [2 per cell]
Co (0.2007, 0.5000, 0.8604) [2 per cell]
Co (0.3434, 0.0000, 0.6957) [2 per cell]
Co (0.3556, 0.0000, 0.1647) [2 per cell]

Calculated volume, Å³ per cell: 191.58
E_tot, eV/cell: -81.9
Calculated density, g cm⁻³: 5.40
Energy of formation from the pure elements, kcal/mol of atoms: -2.4

# CaPm6In5

A relaxed CaPm6In5 crystal (PBE, Alexandria via LeMat-Bulk).

a = 5.4929 Å, b = 7.7385 Å, c = 16.6459 Å
α = 90.00°, β = 90.00°, γ = 90.00°
Space group Immm (No. 71)
Asymmetric unit:
Ca (0.0000, 0.0000, 0.0000) [2 per cell]
Pm (0.0000, 0.2315, 0.5000) [4 per cell]
Pm (0.0000, 0.2566, 0.1742) [8 per cell]
In (0.0000, 0.0000, 0.3329) [4 per cell]
In (0.0000, 0.5000, 0.0000) [2 per cell]
In (0.0000, 0.5000, 0.3488) [4 per cell]

Calculated volume, Å³ per cell: 707.56
E_tot, eV/cell: -98.1
Calculated density, g cm⁻³: 6.97
Energy of formation from the pure elements, kcal/mol of atoms: -9.3

# AcPmPr

A relaxed AcPmPr crystal (PBE, Alexandria via LeMat-Bulk).

a = 3.7737 Å, b = 5.9097 Å, c = 10.3693 Å
α = 90.00°, β = 90.00°, γ = 90.00°
Space group Pmmn (No. 59, origin choice 2)
Asymmetric unit:
Ac (0.2500, 0.2500, 0.0999) [2 per cell]
Pm (0.2500, 0.2500, 0.7441) [2 per cell]
Pr (0.2500, 0.7500, 0.5578) [2 per cell]

Calculated volume, Å³ per cell: 231.25
E_tot, eV/cell: -27.1
Calculated density, g cm⁻³: 7.37
Energy of formation from the pure elements, kcal/mol of atoms: 0.7
Relative energy among the computed polymorphs, meV per atom: 0

# MgBe2Al

A relaxed MgBe2Al crystal (PBE, Alexandria via LeMat-Bulk).

a = 3.7735 Å, b = 3.7735 Å, c = 7.7686 Å
α = 90.00°, β = 90.00°, γ = 90.00°
Space group I-4m2 (No. 119)
Asymmetric unit:
Mg (0.0000, 0.0000, 0.0000) [2 per cell]
Be (0.0000, 0.0000, 0.5000) [2 per cell]
Be (0.0000, 0.5000, 0.2500) [2 per cell]
Al (0.0000, 0.5000, 0.7500) [2 per cell]

Calculated volume, Å³ per cell: 110.62
E_tot, eV/cell: -22.6
Calculated density, g cm⁻³: 2.08
Energy of formation from the pure elements, kcal/mol of atoms: 8.5
Relative energy among the computed polymorphs, meV per atom: 319